Record 1
The following is a PBE calculation of a geometry-optimized Na2PrB2O6 structure, from the Alexandria database.

Summary:
space-group type	P-3
formation energy from raw total energies	-2.32	eV/atom
calculated volume	161	Å³/cell
DFT total energy	-6.92	eV per atom

Structure (CIF):
```
data_Na2PrB2O6
_cell_length_a 5.410
_cell_length_b 5.410
_cell_length_c 6.366
_cell_angle_alpha 90.00
_cell_angle_beta 90.00
_cell_angle_gamma 120.00
_space_group_name_H-M_alt 'P 1'
_space_group_IT_number 1
_space_group_name_Hall 'P 1'
loop_
_atom_site_label
_atom_site_type_symbol
_atom_site_fract_x
_atom_site_fract_y
_atom_site_fract_z
O1 O 0.399 0.305 0.222
O2 O 0.094 0.399 0.778
O3 O 0.305 0.906 0.778
O4 O 0.906 0.601 0.222
O5 O 0.695 0.094 0.222
O6 O 0.601 0.695 0.778
B1 B 0.667 0.333 0.216
B2 B 0.333 0.667 0.784
Na1 Na 0.333 0.667 0.356
Na2 Na 0.667 0.333 0.644
Pr1 Pr 0.000 0.000 0.000
```

Record 2
The following is a PBE calculation of a geometry-optimized Na2PrBO4 structure, from the Alexandria database.

Summary:
space-group type	I-42m
formation energy from raw total energies	-2.22	eV/atom
calculated volume	95	Å³/cell
DFT total energy	-6.46	eV per atom

Structure (CIF):
```
data_Na2PrBO4
_cell_length_a 5.683
_cell_length_b 4.986
_cell_length_c 4.986
_cell_angle_alpha 72.60
_cell_angle_beta 55.26
_cell_angle_gamma 55.26
_space_group_name_H-M_alt 'P 1'
_space_group_IT_number 1
_space_group_name_Hall 'P 1'
loop_
_atom_site_label
_atom_site_type_symbol
_atom_site_fract_x
_atom_site_fract_y
_atom_site_fract_z
Na1 Na 0.500 0.250 0.750
Na2 Na 0.500 0.750 0.250
Pr1 Pr 0.000 0.000 0.000
O1 O 0.000 0.802 0.508
O2 O 0.689 0.508 0.802
O3 O 0.311 0.198 0.492
O4 O 0.000 0.492 0.198
B1 B 0.000 0.500 0.500
```

Record 3
The following is a PBE calculation of a geometry-optimized NaB4Pt3O12 structure, from the Alexandria database.

Summary:
space-group type	R32
formation energy from raw total energies	-1.42	eV/atom
calculated volume	216	Å³/cell
DFT total energy	-6.70	eV per atom

Structure (CIF):
```
data_NaB4Pt3O12
_cell_length_a 6.190
_cell_length_b 6.190
_cell_length_c 6.190
_cell_angle_alpha 102.90
_cell_angle_beta 102.90
_cell_angle_gamma 102.90
_space_group_name_H-M_alt 'P 1'
_space_group_IT_number 1
_space_group_name_Hall 'P 1'
loop_
_atom_site_label
_atom_site_type_symbol
_atom_site_fract_x
_atom_site_fract_y
_atom_site_fract_z
O1 O 0.376 0.979 0.212
O2 O 0.643 0.500 0.357
O3 O 0.500 0.089 0.911
O4 O 0.021 0.624 0.788
O5 O 0.500 0.357 0.643
O6 O 0.979 0.212 0.376
O7 O 0.788 0.021 0.624
O8 O 0.357 0.643 0.500
O9 O 0.089 0.911 0.500
O10 O 0.212 0.376 0.979
O11 O 0.624 0.788 0.021
O12 O 0.911 0.500 0.089
B1 B 0.500 0.942 0.058
B2 B 0.058 0.500 0.942
B3 B 0.500 0.500 0.500
B4 B 0.942 0.058 0.500
Pt1 Pt 0.000 0.551 0.449
Pt2 Pt 0.449 0.000 0.551
Pt3 Pt 0.551 0.449 0.000
Na1 Na 0.000 0.000 0.000
```

Record 4
The following is a PBE calculation of a geometry-optimized NaBPtO4 structure, from the Alexandria database.

Summary:
space-group type	Cmcm
formation energy from raw total energies	-1.16	eV/atom
calculated volume	158	Å³/cell
DFT total energy	-6.00	eV per atom

Structure (CIF):
```
data_NaBPtO4
_cell_length_a 5.251
_cell_length_b 5.251
_cell_length_c 6.210
_cell_angle_alpha 90.00
_cell_angle_beta 90.00
_cell_angle_gamma 112.77
_space_group_name_H-M_alt 'P 1'
_space_group_IT_number 1
_space_group_name_Hall 'P 1'
loop_
_atom_site_label
_atom_site_type_symbol
_atom_site_fract_x
_atom_site_fract_y
_atom_site_fract_z
O1 O 0.815 0.786 0.250
O2 O 0.185 0.214 0.750
O3 O 0.220 0.780 0.061
O4 O 0.786 0.815 0.750
O5 O 0.220 0.780 0.439
O6 O 0.780 0.220 0.561
O7 O 0.780 0.220 0.939
O8 O 0.214 0.185 0.250
Na1 Na 0.500 0.500 0.000
Na2 Na 0.500 0.500 0.500
Pt1 Pt 0.822 0.178 0.250
Pt2 Pt 0.178 0.822 0.750
B1 B 0.120 0.880 0.250
B2 B 0.880 0.120 0.750
```

Record 5
The following is a PBE calculation of a geometry-optimized Na2PuBO6 structure, from the Alexandria database.

Summary:
space-group type	C2/m
formation energy from raw total energies	-1.89	eV/atom
calculated volume	123	Å³/cell
DFT total energy	-7.23	eV per atom

Structure (CIF):
```
data_Na2PuBO6
_cell_length_a 4.986
_cell_length_b 5.152
_cell_length_c 6.073
_cell_angle_alpha 115.10
_cell_angle_beta 116.23
_cell_angle_gamma 90.00
_space_group_name_H-M_alt 'P 1'
_space_group_IT_number 1
_space_group_name_Hall 'P 1'
loop_
_atom_site_label
_atom_site_type_symbol
_atom_site_fract_x
_atom_site_fract_y
_atom_site_fract_z
O1 O 0.282 0.690 0.381
O2 O 0.718 0.310 0.619
O3 O 0.249 0.743 0.910
O4 O 0.249 0.166 0.910
O5 O 0.751 0.257 0.090
O6 O 0.751 0.834 0.090
B1 B 0.500 0.000 0.000
Pu1 Pu 0.000 0.500 0.000
Na1 Na 0.198 0.249 0.499
Na2 Na 0.802 0.751 0.501
```

Record 6
The following is a PBE calculation of a geometry-optimized NaPuB2O6 structure, from the Alexandria database.

Summary:
space-group type	C2/c
formation energy from raw total energies	-2.34	eV/atom
calculated volume	205	Å³/cell
DFT total energy	-8.22	eV per atom

Structure (CIF):
```
data_NaPuB2O6
_cell_length_a 4.775
_cell_length_b 6.617
_cell_length_c 6.617
_cell_angle_alpha 89.43
_cell_angle_beta 81.60
_cell_angle_gamma 81.60
_space_group_name_H-M_alt 'P 1'
_space_group_IT_number 1
_space_group_name_Hall 'P 1'
loop_
_atom_site_label
_atom_site_type_symbol
_atom_site_fract_x
_atom_site_fract_y
_atom_site_fract_z
B1 B 0.269 0.367 0.204
B2 B 0.769 0.204 0.367
B3 B 0.731 0.633 0.796
B4 B 0.231 0.796 0.633
O1 O 0.855 0.416 0.828
O2 O 0.045 0.296 0.375
O3 O 0.818 0.017 0.256
O4 O 0.955 0.704 0.625
O5 O 0.145 0.584 0.172
O6 O 0.455 0.625 0.704
O7 O 0.318 0.256 0.017
O8 O 0.355 0.828 0.416
O9 O 0.182 0.983 0.744
O10 O 0.682 0.744 0.983
O11 O 0.645 0.172 0.584
O12 O 0.545 0.375 0.296
Na1 Na 0.250 0.921 0.079
Na2 Na 0.750 0.079 0.921
Pu1 Pu 0.250 0.307 0.693
Pu2 Pu 0.750 0.693 0.307
```

Record 7
The following is a PBE calculation of a geometry-optimized Na2PuB2O6 structure, from the Alexandria database.

Summary:
space-group type	P-3
formation energy from raw total energies	-2.42	eV/atom
calculated volume	150	Å³/cell
DFT total energy	-7.88	eV per atom

Structure (CIF):
```
data_Na2PuB2O6
_cell_length_a 5.305
_cell_length_b 5.305
_cell_length_c 6.153
_cell_angle_alpha 90.00
_cell_angle_beta 90.00
_cell_angle_gamma 120.00
_space_group_name_H-M_alt 'P 1'
_space_group_IT_number 1
_space_group_name_Hall 'P 1'
loop_
_atom_site_label
_atom_site_type_symbol
_atom_site_fract_x
_atom_site_fract_y
_atom_site_fract_z
Na1 Na 0.333 0.667 0.342
Na2 Na 0.667 0.333 0.658
O1 O 0.717 0.616 0.212
O2 O 0.283 0.384 0.788
O3 O 0.101 0.717 0.788
O4 O 0.899 0.283 0.212
O5 O 0.616 0.899 0.788
O6 O 0.384 0.101 0.212
B1 B 0.333 0.667 0.796
B2 B 0.667 0.333 0.204
Pu1 Pu 0.000 0.000 0.000
```

Record 8
The following is a PBE calculation of a geometry-optimized NaPuB2O8 structure, from the Alexandria database.

Summary:
space-group type	C2/m
formation energy from raw total energies	-1.81	eV/atom
calculated volume	156	Å³/cell
DFT total energy	-7.53	eV per atom

Structure (CIF):
```
data_NaPuB2O8
_cell_length_a 4.874
_cell_length_b 4.874
_cell_length_c 7.182
_cell_angle_alpha 91.42
_cell_angle_beta 91.42
_cell_angle_gamma 65.96
_space_group_name_H-M_alt 'P 1'
_space_group_IT_number 1
_space_group_name_Hall 'P 1'
loop_
_atom_site_label
_atom_site_type_symbol
_atom_site_fract_x
_atom_site_fract_y
_atom_site_fract_z
O1 O 0.318 0.782 0.203
O2 O 0.226 0.226 0.926
O3 O 0.782 0.318 0.203
O4 O 0.284 0.284 0.590
O5 O 0.716 0.716 0.410
O6 O 0.774 0.774 0.074
O7 O 0.682 0.218 0.797
O8 O 0.218 0.682 0.797
Pu1 Pu 0.000 0.000 0.000
B1 B 0.645 0.645 0.228
B2 B 0.355 0.355 0.772
Na1 Na 0.000 0.000 0.500
```

Record 9
The following is a PBE calculation of a geometry-optimized Rb3NaB2O6 structure, from the Alexandria database.

Summary:
space-group type	P-3m1
formation energy from raw total energies	-1.85	eV/atom
calculated volume	219	Å³/cell
DFT total energy	-5.80	eV per atom

Structure (CIF):
```
data_Rb3NaB2O6
_cell_length_a 5.947
_cell_length_b 5.947
_cell_length_c 7.153
_cell_angle_alpha 90.00
_cell_angle_beta 90.00
_cell_angle_gamma 120.00
_space_group_name_H-M_alt 'P 1'
_space_group_IT_number 1
_space_group_name_Hall 'P 1'
loop_
_atom_site_label
_atom_site_type_symbol
_atom_site_fract_x
_atom_site_fract_y
_atom_site_fract_z
O1 O 0.400 0.200 0.714
O2 O 0.800 0.600 0.714
O3 O 0.600 0.800 0.286
O4 O 0.200 0.800 0.286
O5 O 0.200 0.400 0.286
O6 O 0.800 0.200 0.714
Na1 Na 0.000 0.000 0.500
Rb1 Rb 0.667 0.333 0.294
Rb2 Rb 0.333 0.667 0.706
Rb3 Rb 0.000 0.000 0.000
B1 B 0.333 0.667 0.282
B2 B 0.667 0.333 0.718
```

Record 10
The following is a PBE calculation of a geometry-optimized RbNa2BO3 structure, from the Alexandria database.

Summary:
space-group type	Pmmn
formation energy from raw total energies	-1.95	eV/atom
calculated volume	200	Å³/cell
DFT total energy	-5.55	eV per atom

Structure (CIF):
```
data_RbNa2BO3
_cell_length_a 5.630
_cell_length_b 5.737
_cell_length_c 6.198
_cell_angle_alpha 90.00
_cell_angle_beta 90.00
_cell_angle_gamma 90.00
_space_group_name_H-M_alt 'P 1'
_space_group_IT_number 1
_space_group_name_Hall 'P 1'
loop_
_atom_site_label
_atom_site_type_symbol
_atom_site_fract_x
_atom_site_fract_y
_atom_site_fract_z
Na1 Na 0.365 0.500 0.769
Na2 Na 0.635 0.000 0.269
Na3 Na 0.635 0.000 0.731
Na4 Na 0.365 0.500 0.231
B1 B 0.213 0.000 0.500
B2 B 0.787 0.500 0.000
O1 O 0.657 0.291 0.000
O2 O 0.966 0.000 0.500
O3 O 0.343 0.209 0.500
O4 O 0.034 0.500 0.000
O5 O 0.657 0.709 0.000
O6 O 0.343 0.791 0.500
Rb1 Rb 0.894 0.500 0.500
Rb2 Rb 0.106 0.000 0.000
```

Record 11
The following is a PBE calculation of a geometry-optimized Na3B2RhO6 structure, from the Alexandria database.

Summary:
space-group type	P-3m1
formation energy from raw total energies	-1.76	eV/atom
calculated volume	141	Å³/cell
DFT total energy	-6.29	eV per atom

Structure (CIF):
```
data_Na3B2RhO6
_cell_length_a 5.141
_cell_length_b 5.141
_cell_length_c 6.160
_cell_angle_alpha 90.00
_cell_angle_beta 90.00
_cell_angle_gamma 120.00
_space_group_name_H-M_alt 'P 1'
_space_group_IT_number 1
_space_group_name_Hall 'P 1'
loop_
_atom_site_label
_atom_site_type_symbol
_atom_site_fract_x
_atom_site_fract_y
_atom_site_fract_z
B1 B 0.667 0.333 0.706
B2 B 0.333 0.667 0.294
Na1 Na 0.667 0.333 0.256
Na2 Na 0.333 0.667 0.744
Na3 Na 0.000 0.000 0.000
O1 O 0.644 0.822 0.282
O2 O 0.822 0.178 0.718
O3 O 0.178 0.822 0.282
O4 O 0.178 0.356 0.282
O5 O 0.356 0.178 0.718
O6 O 0.822 0.644 0.718
Rh1 Rh 0.000 0.000 0.500
```

Record 12
The following is a PBE calculation of a geometry-optimized NaBRhO4 structure, from the Alexandria database.

Summary:
space-group type	Cmcm
formation energy from raw total energies	-1.31	eV/atom
calculated volume	159	Å³/cell
DFT total energy	-6.33	eV per atom

Structure (CIF):
```
data_NaBRhO4
_cell_length_a 5.283
_cell_length_b 5.283
_cell_length_c 6.167
_cell_angle_alpha 90.00
_cell_angle_beta 90.00
_cell_angle_gamma 112.85
_space_group_name_H-M_alt 'P 1'
_space_group_IT_number 1
_space_group_name_Hall 'P 1'
loop_
_atom_site_label
_atom_site_type_symbol
_atom_site_fract_x
_atom_site_fract_y
_atom_site_fract_z
O1 O 0.792 0.815 0.750
O2 O 0.208 0.185 0.250
O3 O 0.784 0.216 0.558
O4 O 0.815 0.792 0.250
O5 O 0.216 0.784 0.442
O6 O 0.784 0.216 0.942
O7 O 0.185 0.208 0.750
O8 O 0.216 0.784 0.058
Rh1 Rh 0.169 0.831 0.750
Rh2 Rh 0.831 0.169 0.250
B1 B 0.881 0.119 0.750
B2 B 0.119 0.881 0.250
Na1 Na 0.500 0.500 0.500
Na2 Na 0.500 0.500 0.000
```